Entry 1:
Here is crystalline PmDyC at its relaxed geometry from Alexandria via LeMat-Bulk. Energies are from PBE.

Structure (POSCAR):
```
PmDyC
1.0
6.444 -1.814 0.000
6.444 1.814 0.000
-0.969 0.000 6.213
Pm Dy C
2 2 2
direct
0.112 0.112 0.369
0.888 0.888 0.631
0.396 0.396 0.134
0.604 0.604 0.866
0.000 0.000 0.000
0.500 0.500 0.500
```

theoretical density: 7.31 Mg/m³
distance to the lowest polymorph of the same formula: 0.003 eV per atom

=====

Entry 2:
Here is crystalline La6AgPd2 at its relaxed geometry from Alexandria via LeMat-Bulk. Energies are from PBE.

Structure (POSCAR):
```
La6AgPd2
1.0
-4.919 5.155 5.388
4.919 -5.155 5.388
4.919 5.155 -5.388
La Ag Pd
12 2 4
direct
0.046 0.237 0.809
0.175 0.285 0.460
0.175 0.715 0.891
0.330 0.029 0.700
0.330 0.630 0.300
0.429 0.237 0.191
0.571 0.763 0.809
0.670 0.370 0.700
0.670 0.971 0.300
0.825 0.285 0.109
0.825 0.715 0.540
0.954 0.763 0.191
0.000 0.000 0.000
0.500 0.500 0.000
0.133 0.633 0.500
0.346 0.000 0.346
0.654 0.000 0.654
0.867 0.367 0.500
```

theoretical density: 7.01 Mg/m³
distance to the lowest polymorph of the same formula: 0.000 eV per atom

=====

Entry 3:
Here is crystalline HfScZn3 at its relaxed geometry from Alexandria via LeMat-Bulk. Energies are from PBE.

Structure (POSCAR):
```
HfScZn3
1.0
4.791 0.000 0.000
0.000 4.791 0.000
0.000 0.000 4.791
Hf Sc Zn
1 1 3
direct
0.000 0.000 0.000
0.500 0.500 0.500
0.000 0.500 0.500
0.500 0.000 0.500
0.500 0.500 0.000
```

theoretical density: 6.34 Mg/m³
distance to the lowest polymorph of the same formula: 1.198 eV per atom

=====

> theoretical density of number 1 (PmDyC)?

7.31 Mg/m³

=====

Copy entry 1 word for word.
Here is crystalline PmDyC at its relaxed geometry from Alexandria via LeMat-Bulk. Energies are from PBE.

Structure (POSCAR):
```
PmDyC
1.0
6.444 -1.814 0.000
6.444 1.814 0.000
-0.969 0.000 6.213
Pm Dy C
2 2 2
direct
0.112 0.112 0.369
0.888 0.888 0.631
0.396 0.396 0.134
0.604 0.604 0.866
0.000 0.000 0.000
0.500 0.500 0.500
```

theoretical density: 7.31 Mg/m³
distance to the lowest polymorph of the same formula: 0.003 eV per atom